HoMn2Si2 | PBEsol | relaxed

Results
**Raw formation energy**: -640 meV/atom
**DFT total energy**: -39.17 eV per cell

abc: 5.7723 5.7723 5.7723
angles: 141.23 141.23 55.99
With the nearest neighbours (Å) after each atom.
Positions (direct):
Ho 0.0000 0.0000 0.0000  8 Si 2.97, 8 Mn 3.19
Mn 0.2500 0.7500 0.5000  4 Si 2.33
Mn 0.7500 0.2500 0.5000  4 Si 2.33
Si 0.3801 0.3801 0.0000  4 Mn 2.33, 1 Si 2.44
Si 0.6199 0.6199 0.0000  4 Mn 2.33, 1 Si 2.44